(1)
TcAsSBr2 after structural relaxation. Source: Alexandria, functional GGA-PBE.

POSCAR file:
```
TcAsSBr2
1.0
4.978 0.000 0.000
0.000 4.978 0.000
0.000 0.000 5.162
Tc As S Br
1 1 1 2
direct
0.000 0.000 0.000
0.500 0.500 0.000
0.500 0.500 0.500
0.000 0.500 0.500
0.500 0.000 0.500
```

Computed properties:
offset from the most stable computed form	0.510	eV per atom
formation energy from raw total energies	1.170	eV/atom

---

(2)
Tl3In after structural relaxation. Source: Alexandria, functional GGA-PBE.

POSCAR file:
```
Tl3In
1.0
0.000 3.913 3.913
3.913 0.000 3.913
3.913 3.913 0.000
Tl In
3 1
direct
0.000 0.000 0.000
0.250 0.250 0.250
0.750 0.750 0.750
0.500 0.500 0.500
```

Computed properties:
DFT formation energy	6	meV per atom

---

Number 1: D(E_F) 4.9 states/eV/f.u., V 25.58 A^3/atom, E_tot -16.6 eV for the cell shown. Number 2: D(E_F) 2.4 states/eV/f.u., V 29.96 A^3/atom, E_tot -9.8 eV for the cell shown.